DFT (PBE) results for RbAcU after structural relaxation.

## Properties
DFT total energy = -10.8 eV per cell
M_tot = 5.92 μB per formula unit
Space-group type = No. 216

```
data_RbAcU
_chemical_formula_sum 'Rb1 Ac1 U1'
_symmetry_space_group_name_H-M 'P 1'
_symmetry_Int_Tables_number 1
_symmetry_space_group_name_Hall 'P 1'
_cell_length_a 6.069
_cell_length_b 6.069
_cell_length_c 6.069
_cell_angle_alpha 60.00
_cell_angle_beta 60.00
_cell_angle_gamma 60.00
loop_
_atom_site_label
_atom_site_type_symbol
_atom_site_fract_x
_atom_site_fract_y
_atom_site_fract_z
Ac1 Ac 0.250 0.250 0.250
Rb1 Rb 0.750 0.750 0.750
U1 U 0.000 0.000 0.000
```